DFT (PBE) results for crystalline YAgSe2 at its relaxed geometry.

Values from the calculation:
SG = Amm2
E_tot = -5.2118 eV per atom
Total moment = 0.000 μB per formula unit

abc: 6.729 6.729 3.994
angles: 90.01 90.01 32.59
Fractional coordinates of all 4 atoms:
Se 0.029 0.029 0.125
Se 0.782 0.782 0.625
Y 0.450 0.450 0.625
Ag 0.239 0.239 0.125